First-principles (PBE-GGA) data for crystalline ZrB2HPb at its relaxed geometry, as listed in Alexandria.

Lattice parameters (Å, degrees): 4.6162 3.5567 4.6162 90.00 90.00 90.00
Fractional coordinates of all 5 atoms:
B: 0.5000 0.0000 0.0000
Zr: 0.5000 0.5000 0.5000
H: 0.0000 0.5000 0.0000
B: 0.0000 0.0000 0.5000
Pb: 0.0000 0.0000 0.0000

The calculation puts the total energy at -22.1 eV per formula unit. The volume is 15.16 Å³ per atom. For the total magnetic moment, the calculation gives 0.00 Bohr magnetons per cell.